## Al7Pd3 (GGA-PBE)

Data for a geometry-optimized Al7Pd3 structure.

a b c (Å): 7.5929 7.5929 7.5929
angles (deg): 109.47 109.47 109.47
Closest atoms and distances in Å follow each position.
Sites, in units of the cell vectors:
1 Al 0.0000 0.0000 0.3245  3 Pd 2.56, 4 Al 2.66-2.85
2 Al 0.0000 0.0000 0.6755  3 Pd 2.56, 4 Al 2.66-2.85
3 Al 0.0000 0.3245 0.0000  3 Pd 2.56, 4 Al 2.66-2.85
4 Al 0.0000 0.6755 0.0000  3 Pd 2.56, 4 Al 2.66-2.85
5 Al 0.2500 0.5000 0.7500  4 Pd 2.59
6 Al 0.2500 0.7500 0.5000  4 Pd 2.59
7 Al 0.3245 0.0000 0.0000  3 Pd 2.56, 4 Al 2.66-2.85
8 Al 0.3245 0.3245 0.3245  3 Pd 2.56, 4 Al 2.66-2.85
9 Al 0.5000 0.2500 0.7500  4 Pd 2.59
10 Al 0.5000 0.7500 0.2500  4 Pd 2.59
11 Al 0.6755 0.0000 0.0000  3 Pd 2.56, 4 Al 2.66-2.85
12 Al 0.6755 0.6755 0.6755  3 Pd 2.56, 4 Al 2.66-2.85
13 Al 0.7500 0.2500 0.5000  4 Pd 2.59
14 Al 0.7500 0.5000 0.2500  4 Pd 2.59
15 Pd 0.0000 0.3430 0.3430  8 Al 2.56-2.59, 1 Pd 2.75
16 Pd 0.0000 0.6570 0.6570  8 Al 2.56-2.59, 1 Pd 2.75
17 Pd 0.3430 0.0000 0.3430  8 Al 2.56-2.59, 1 Pd 2.75
18 Pd 0.3430 0.3430 0.0000  8 Al 2.56-2.59, 1 Pd 2.75
19 Pd 0.6570 0.0000 0.6570  8 Al 2.56-2.59, 1 Pd 2.75
20 Pd 0.6570 0.6570 0.0000  8 Al 2.56-2.59, 1 Pd 2.75

- symmetry = No. 229
- E (eV per atom) = -4.738
- distance to the lowest polymorph of the same formula (eV per atom) = 0.000